Model i:
GaGe2Se2 | PBE-GGA | optimized geometry

a = 5.2695 Å, b = 5.2695 Å, c = 8.6937 Å
α = 90.00°, β = 90.00°, γ = 90.00°
Last column: nearest neighbours and their distance in Å.
Space group I4/mmm (No. 139)
Inequivalent atoms, fractional coordinates:
Ga1 0.0000 0.0000 0.0000 [2 per cell]  2 Ge 2.98
Ge1 0.0000 0.0000 0.3425 [4 per cell]  1 Ge 2.74, 4 Se 2.75, 1 Ga 2.98
Se1 0.0000 0.5000 0.2500 [4 per cell]  4 Ge 2.75

Results
Volume in Å³ per cell: 241
Crystal system: tetragonal

Model ii:
GaGe2Se2 | PBE-GGA | optimized geometry

a = 3.8966 Å, b = 3.8966 Å, c = 14.8472 Å
α = 90.00°, β = 90.00°, γ = 90.00°
Last column: nearest neighbours and their distance in Å.
Space group I4/mmm (No. 139)
Inequivalent atoms, fractional coordinates:
Ga1 0.0000 0.0000 0.0000 [2 per cell]  8 Se 3.09
Ge1 0.0000 0.5000 0.2500 [4 per cell]  4 Ge 2.76, 4 Se 3.02
Se1 0.0000 0.0000 0.4051 [4 per cell]  1 Se 2.82, 4 Ge 3.02, 4 Ga 3.09

Results
Volume in Å³ per cell: 225
Crystal system: tetragonal

Going by the energies, model i is most stable and the next is 13.6 kJ/mol of atoms up.

Model i:
Ga2GeSe | PBE-GGA | optimized geometry

a = 4.0117 Å, b = 4.0117 Å, c = 21.8724 Å
α = 90.00°, β = 90.00°, γ = 120.00°
Last column: nearest neighbours and their distance in Å.
Space group R-3m (No. 166, hexagonal axes)
Inequivalent atoms, fractional coordinates:
Ga1 0.0000 0.0000 0.1082 [6 per cell]  1 Se 2.37, 3 Ge 2.65
Ge1 0.0000 0.0000 0.5000 [3 per cell]  6 Ga 2.65
Se1 0.0000 0.0000 0.0000 [3 per cell]  2 Ga 2.37

Results
Volume in Å³ per cell: 305
Crystal system: trigonal

Model ii:
Ga2GeSe | PBE-GGA | optimized geometry

a = 6.8571 Å, b = 6.8571 Å, c = 6.8571 Å
α = 90.00°, β = 90.00°, γ = 90.00°
Last column: nearest neighbours and their distance in Å.
Space group Fm-3m (No. 225)
Inequivalent atoms, fractional coordinates:
Ga1 0.2500 0.2500 0.2500 [8 per cell]  4 Ge 2.97, 4 Se 2.97
Ge1 0.0000 0.0000 0.0000 [4 per cell]  8 Ga 2.97
Se1 0.0000 0.0000 0.5000 [4 per cell]  8 Ga 2.97

Results
Volume in Å³ per cell: 322
Crystal system: cubic

Model iii:
Ga2GeSe | PBE-GGA | optimized geometry

a = 5.8110 Å, b = 5.8110 Å, c = 11.7451 Å
α = 90.00°, β = 90.00°, γ = 90.00°
Last column: nearest neighbours and their distance in Å.
Space group I-42d (No. 122)
Inequivalent atoms, fractional coordinates:
Ga1 0.2289 0.2500 0.1250 [8 per cell]  2 Ge 2.46, 2 Se 2.60
Ge1 0.0000 0.0000 0.0000 [4 per cell]  4 Ga 2.46
Se1 0.0000 0.0000 0.5000 [4 per cell]  4 Ga 2.60

Results
Volume in Å³ per cell: 397
Crystal system: tetragonal

Going by the energies, model iii is most stable and the next is 38.1 kJ/mol of atoms up.

Model i:
Sm3Ga2Ge3 | PBE-GGA | optimized geometry

a = 4.2290 Å, b = 11.2260 Å, c = 14.9989 Å
α = 90.00°, β = 90.00°, γ = 90.00°
Last column: nearest neighbours and their distance in Å.
Space group Cmcm (No. 63)
Inequivalent atoms, fractional coordinates:
Sm1 0.0000 0.0612 0.1134 [8 per cell]  6 Ge 3.02-3.17, 3 Ga 3.20-3.21
Sm2 0.0000 0.3454 0.2500 [4 per cell]  5 Ge 3.09-3.29, 4 Ga 3.10
Ga1 0.0000 0.2236 0.6084 [8 per cell]  4 Ge 2.64-2.82
Ge1 0.0000 0.3789 0.7500 [4 per cell]  2 Ga 2.75, 4 Sm 3.02
Ge2 0.0000 0.3806 0.0381 [8 per cell]  3 Ga 2.64-2.82, 1 Ge 2.91

Results
Volume in Å³ per cell: 712
Crystal system: orthorhombic

Model ii:
Sm3Ga2Ge3 | PBE-GGA | optimized geometry

a = 4.2303 Å, b = 11.1665 Å, c = 15.3716 Å
α = 90.00°, β = 90.00°, γ = 90.00°
Last column: nearest neighbours and their distance in Å.
Space group Cmcm (No. 63)
Inequivalent atoms, fractional coordinates:
Sm1 0.0000 0.0734 0.2500 [4 per cell]  4 Ga 2.94, 3 Ge 3.00-3.18
Sm2 0.0000 0.3644 0.0993 [8 per cell]  7 Ge 3.09-3.44, 3 Ga 3.12-3.29
Ga1 0.0000 0.3585 0.6265 [8 per cell]  3 Ge 2.52-2.63
Ge1 0.0000 0.0955 0.0440 [8 per cell]  2 Ga 2.52, 1 Ge 2.52
Ge2 0.0000 0.1952 0.7500 [4 per cell]  2 Ga 2.63

Results
Volume in Å³ per cell: 726
Crystal system: orthorhombic

Going by the energies, model i is most stable and the next is 1.0 kJ/mol of atoms up.

Model i:
Sm2Ga2Ge | PBE-GGA | optimized geometry

a = 4.1310 Å, b = 4.0019 Å, c = 14.0737 Å
α = 90.00°, β = 90.00°, γ = 90.00°
Last column: nearest neighbours and their distance in Å.
Space group Amm2 (No. 38)
Inequivalent atoms, fractional coordinates:
Sm1 0.0000 0.0000 0.0000 [2 per cell]  4 Ge 3.04, 2 Ga 3.23
Sm2 0.0000 0.0000 0.2532 [2 per cell]  8 Ga 3.04-3.36, 2 Ge 3.24
Ga1 0.5000 0.0000 0.6301 [2 per cell]  1 Ga 2.72, 1 Ge 2.80
Ga2 0.5000 0.0000 0.8233 [2 per cell]  2 Ge 2.51, 1 Ga 2.72
Ge1 0.5000 0.0000 0.4310 [2 per cell]  3 Ga 2.51-2.80

Results
Volume in Å³ per cell: 233
Crystal system: orthorhombic

Model ii:
Sm2Ga2Ge | PBE-GGA | optimized geometry

a = 11.1477 Å, b = 4.2042 Å, c = 11.0965 Å
α = 90.00°, β = 116.49°, γ = 90.00°
Last column: nearest neighbours and their distance in Å.
Space group C2/m (No. 12)
Inequivalent atoms, fractional coordinates:
Sm1 0.0988 0.0000 0.4019 [4 per cell]  6 Ga 3.00-3.28, 2 Ge 3.12
Sm2 0.2066 0.5000 0.1438 [4 per cell]  4 Ge 3.10-3.36, 7 Ga 3.12-3.33
Ga1 0.0165 0.0000 0.9000 [4 per cell]  1 Ga 2.41, 2 Ge 2.51
Ga2 0.1332 0.5000 0.6137 [4 per cell]  1 Ge 2.58
Ge1 0.0737 0.5000 0.8133 [4 per cell]  3 Ga 2.51-2.58

Results
Volume in Å³ per cell: 465
Crystal system: monoclinic

Going by the energies, model ii is most stable and the next is 3.2 kJ/mol of atoms up.

Model i:
Sm5GaGe2 | PBE-GGA | optimized geometry

a = 6.8221 Å, b = 6.8221 Å, c = 8.7650 Å
α = 90.00°, β = 90.00°, γ = 90.00°
Last column: nearest neighbours and their distance in Å.
Space group I4/mmm (No. 139)
Inequivalent atoms, fractional coordinates:
Sm1 0.0000 0.0000 0.0000 [2 per cell]  8 Sm 3.26, 4 Ge 3.41
Sm2 0.2500 0.2500 0.2500 [8 per cell]  6 Sm 3.26-3.41, 2 Ga 3.26, 4 Ge 3.26
Ga1 0.0000 0.0000 0.5000 [2 per cell]  8 Sm 3.26, 4 Ge 3.41
Ge1 0.0000 0.5000 0.0000 [4 per cell]  10 Sm 3.26-3.41, 2 Ga 3.41

Results
Volume in Å³ per cell: 408
Crystal system: tetragonal

Model ii:
Sm5GaGe2 | PBE-GGA | optimized geometry

a = 7.8199 Å, b = 7.8199 Å, c = 14.1241 Å
α = 90.00°, β = 90.00°, γ = 90.00°
Last column: nearest neighbours and their distance in Å.
Space group I4/mcm (No. 140)
Inequivalent atoms, fractional coordinates:
Sm1 0.0000 0.0000 0.0000 [4 per cell]  4 Ge 3.08
Sm2 0.1721 0.3279 0.1445 [16 per cell]  3 Ge 3.01-3.13, 2 Ga 3.26
Ga1 0.0000 0.0000 0.2500 [4 per cell]  10 Sm 3.26-3.53
Ge1 0.1275 0.3725 0.5000 [8 per cell]  1 Ge 2.82, 8 Sm 3.01-3.13

Results
Volume in Å³ per cell: 864
Crystal system: tetragonal

Going by the energies, model ii is most stable and the next is 21.5 kJ/mol of atoms up.

Model i:
SmGa4Ge | PBE-GGA | optimized geometry

a = 10.9270 Å, b = 4.2039 Å, c = 6.2347 Å
α = 90.00°, β = 121.60°, γ = 90.00°
Last column: nearest neighbours and their distance in Å.
Space group C2/m (No. 12)
Inequivalent atoms, fractional coordinates:
Sm1 0.0000 0.0000 0.0000 [2 per cell]  10 Ga 3.12-3.31, 2 Ge 3.12
Ga1 0.1524 0.5000 0.4690 [4 per cell]  2 Ge 2.75, 5 Ga 2.80-3.05
Ga2 0.2376 0.5000 0.1166 [4 per cell]  1 Ge 2.60, 3 Ga 2.65-2.80
Ge1 0.0000 0.0000 0.5000 [2 per cell]  6 Ga 2.60-2.75

Results
Volume in Å³ per cell: 244
Crystal system: monoclinic

Model ii:
SmGa4Ge | PBE-GGA | optimized geometry

a = 7.8200 Å, b = 7.8200 Å, c = 7.8200 Å
α = 90.00°, β = 90.00°, γ = 90.00°
Last column: nearest neighbours and their distance in Å.
Space group F-43m (No. 216)
Inequivalent atoms, fractional coordinates:
Sm1 0.0000 0.0000 0.0000 [4 per cell]  12 Ga 3.24, 4 Ge 3.39
Ga1 0.1243 0.1243 0.3757 [16 per cell]  6 Ga 2.75-2.78
Ge1 0.2500 0.2500 0.7500 [4 per cell]  12 Ga 3.24, 4 Sm 3.39

Results
Volume in Å³ per cell: 478
Crystal system: cubic

Going by the energies, model i is most stable and the next is 9.3 kJ/mol of atoms up.

Model i:
SmYGaGe | PBE-GGA | optimized geometry

a = 7.2368 Å, b = 7.2368 Å, c = 7.2368 Å
α = 90.00°, β = 90.00°, γ = 90.00°
Last column: nearest neighbours and their distance in Å.
Space group F-43m (No. 216)
Inequivalent atoms, fractional coordinates:
Sm1 0.0000 0.0000 0.0000 [4 per cell]  4 Ge 3.13, 4 Ga 3.13
Y1 0.0000 0.0000 0.5000 [4 per cell]  4 Ge 3.13, 4 Ga 3.13
Ga1 0.2500 0.2500 0.7500 [4 per cell]  4 Sm 3.13, 4 Y 3.13
Ge1 0.2500 0.2500 0.2500 [4 per cell]  4 Sm 3.13, 4 Y 3.13

Results
Volume in Å³ per cell: 379
Crystal system: cubic

Model ii:
SmYGaGe | PBE-GGA | optimized geometry

a = 4.0432 Å, b = 4.3760 Å, c = 10.9460 Å
α = 90.00°, β = 90.00°, γ = 90.00°
Last column: nearest neighbours and their distance in Å.
Space group Amm2 (No. 38)
Inequivalent atoms, fractional coordinates:
Sm1 0.0000 0.0000 0.0000 [2 per cell]  4 Ga 3.06, 3 Ge 3.07-3.25
Y1 0.5000 0.0000 0.2796 [2 per cell]  4 Ge 3.05, 3 Ga 3.11-3.22
Ga1 0.5000 0.0000 0.5635 [2 per cell]  2 Ge 2.64
Ge1 0.0000 0.0000 0.7192 [2 per cell]  2 Ga 2.64

Results
Volume in Å³ per cell: 194
Crystal system: orthorhombic

Going by the energies, model ii is most stable and the next is 20.6 kJ/mol of atoms up.

Model i:
GaSnGe3 | PBE-GGA | optimized geometry

a = 4.9642 Å, b = 4.9642 Å, c = 4.9642 Å
α = 90.00°, β = 90.00°, γ = 90.00°
Last column: nearest neighbours and their distance in Å.
Space group Pm-3m (No. 221)
Inequivalent atoms, fractional coordinates:
Ga1 0.0000 0.0000 0.0000 [1 per cell]  6 Ge 2.48
Sn1 0.5000 0.5000 0.5000 [1 per cell]  12 Ge 3.51
Ge1 0.0000 0.0000 0.5000 [3 per cell]  2 Ga 2.48

Results
Volume in Å³ per cell: 122
Crystal system: cubic

Model ii:
GaSnGe3 | PBE-GGA | optimized geometry

a = 5.3248 Å, b = 5.3248 Å, c = 5.3248 Å
α = 90.00°, β = 90.00°, γ = 90.00°
Last column: nearest neighbours and their distance in Å.
Space group Pm-3m (No. 221)
Inequivalent atoms, fractional coordinates:
Ga1 0.0000 0.0000 0.0000 [1 per cell]  12 Ge 3.77
Sn1 0.5000 0.5000 0.5000 [1 per cell]  6 Ge 2.66
Ge1 0.0000 0.5000 0.5000 [3 per cell]  2 Sn 2.66

Results
Volume in Å³ per cell: 151
Crystal system: cubic

Going by the energies, model i is most stable and the next is 32.8 kJ/mol of atoms up.

Model i:
GaSnGe2 | PBE-GGA | optimized geometry

a = 4.1467 Å, b = 4.1467 Å, c = 18.2405 Å
α = 90.00°, β = 90.00°, γ = 120.00°
Last column: nearest neighbours and their distance in Å.
Space group R3m (No. 160, hexagonal axes)
Inequivalent atoms, fractional coordinates:
Ga1 0.0000 0.0000 0.0000 [3 per cell]  6 Ge 2.70-2.78
Sn1 0.0000 0.0000 0.1704 [3 per cell]  6 Ge 2.94-2.95, 1 Ga 3.11
Ge1 0.0000 0.0000 0.4106 [3 per cell]  3 Ga 2.78, 3 Sn 2.94
Ge2 0.0000 0.0000 0.5983 [3 per cell]  3 Ga 2.70, 3 Sn 2.95

Results
Volume in Å³ per cell: 272
Crystal system: trigonal

Model ii:
GaSnGe2 | PBE-GGA | optimized geometry

a = 5.8984 Å, b = 5.8984 Å, c = 12.3368 Å
α = 90.00°, β = 90.00°, γ = 90.00°
Last column: nearest neighbours and their distance in Å.
Space group I-42d (No. 122)
Inequivalent atoms, fractional coordinates:
Ga1 0.0000 0.0000 0.0000 [4 per cell]  4 Ge 2.51
Sn1 0.0000 0.0000 0.5000 [4 per cell]  4 Ge 2.69
Ge1 0.2234 0.2500 0.1250 [8 per cell]  2 Ga 2.51, 2 Sn 2.69

Results
Volume in Å³ per cell: 429
Crystal system: tetragonal

Going by the energies, model ii is most stable and the next is 7.8 kJ/mol of atoms up.

Model i:
GaSnGe2 | PBE-GGA | optimized geometry

a = 4.1349 Å, b = 4.1349 Å, c = 23.4786 Å
α = 90.00°, β = 90.00°, γ = 120.00°
Last column: nearest neighbours and their distance in Å.
Space group R-3m (No. 166, hexagonal axes)
Inequivalent atoms, fractional coordinates:
Ga1 0.0000 0.0000 0.0000 [3 per cell]  2 Ge 2.47
Sn1 0.0000 0.0000 0.5000 [3 per cell]  6 Ge 2.79
Ge1 0.0000 0.0000 0.1053 [6 per cell]  1 Ga 2.47

Results
Volume in Å³ per cell: 348
Crystal system: trigonal

Model ii:
GaSnGe2 | PBE-GGA | optimized geometry

a = 3.3954 Å, b = 3.3954 Å, c = 7.3557 Å
α = 90.00°, β = 90.00°, γ = 90.00°
Last column: nearest neighbours and their distance in Å.
Space group P4/mmm (No. 123)
Inequivalent atoms, fractional coordinates:
Ga1 0.0000 0.0000 0.0000 [1 per cell]  8 Ge 2.87
Sn1 0.0000 0.0000 0.5000 [1 per cell]  8 Ge 3.19, 4 Sn 3.40
Ge1 0.5000 0.5000 0.2137 [2 per cell]  4 Ga 2.87, 1 Ge 3.14, 4 Sn 3.19

Results
Volume in Å³ per cell: 85
Crystal system: tetragonal

Going by the energies, model ii is most stable and the next is 23.4 kJ/mol of atoms up.

Model i:
GaSnGe2 | PBE-GGA | optimized geometry

a = 6.9810 Å, b = 6.9810 Å, c = 6.9810 Å
α = 90.00°, β = 90.00°, γ = 90.00°
Last column: nearest neighbours and their distance in Å.
Space group Fm-3m (No. 225)
Inequivalent atoms, fractional coordinates:
Ga1 0.0000 0.0000 0.0000 [4 per cell]  8 Ge 3.02
Sn1 0.0000 0.0000 0.5000 [4 per cell]  8 Ge 3.02
Ge1 0.2500 0.2500 0.2500 [8 per cell]  4 Ga 3.02, 4 Sn 3.02

Results
Volume in Å³ per cell: 340
Crystal system: cubic

Model ii:
GaSnGe2 | PBE-GGA | optimized geometry

a = 4.6047 Å, b = 4.6047 Å, c = 4.0158 Å
α = 90.00°, β = 90.00°, γ = 90.00°
Last column: nearest neighbours and their distance in Å.
Space group P4/mmm (No. 123)
Inequivalent atoms, fractional coordinates:
Ga1 0.0000 0.0000 0.0000 [1 per cell]  8 Ge 3.05, 4 Sn 3.26
Sn1 0.5000 0.5000 0.0000 [1 per cell]  8 Ge 3.05, 4 Ga 3.26
Ge1 0.0000 0.5000 0.5000 [2 per cell]  4 Sn 3.05, 4 Ga 3.05, 4 Ge 3.26

Results
Volume in Å³ per cell: 85
Crystal system: tetragonal

Going by the energies, model ii is most stable and the next is 1.4 kJ/mol of atoms up.

Model i:
GaSn2Ge2 | PBE-GGA | optimized geometry

a = 8.2472 Å, b = 8.2472 Å, c = 3.5314 Å
α = 90.00°, β = 90.00°, γ = 90.00°
Last column: nearest neighbours and their distance in Å.
Space group P4/mbm (No. 127)
Inequivalent atoms, fractional coordinates:
Ga1 0.0000 0.0000 0.0000 [2 per cell]  4 Sn 3.14
Sn1 0.1512 0.3488 0.0000 [4 per cell]  6 Ge 2.99-3.00, 2 Ga 3.14
Ge1 0.1422 0.6422 0.5000 [4 per cell]  6 Sn 2.99-3.00, 1 Ge 3.32

Results
Volume in Å³ per cell: 240
Crystal system: tetragonal

Model ii:
GaSn2Ge2 | PBE-GGA | optimized geometry

a = 5.2247 Å, b = 5.2247 Å, c = 9.3126 Å
α = 90.00°, β = 90.00°, γ = 90.00°
Last column: nearest neighbours and their distance in Å.
Space group I4/mmm (No. 139)
Inequivalent atoms, fractional coordinates:
Ga1 0.0000 0.0000 0.0000 [2 per cell]  2 Ge 3.41, 8 Sn 3.50
Sn1 0.0000 0.5000 0.2500 [4 per cell]  4 Ge 2.83
Ge1 0.0000 0.0000 0.3662 [4 per cell]  1 Ge 2.49

Results
Volume in Å³ per cell: 254
Crystal system: tetragonal

Going by the energies, model ii is most stable and the next is 1.6 kJ/mol of atoms up.